1.
Density functional theory data (PBE-GGA) for a relaxed ScHg2Rh2 crystal.

a b c (Å): 6.790 6.790 4.108
angles (deg): 90.00 90.00 90.00
Element x y z (fractional)
Hg1 0.665 0.835 0.500
Hg2 0.165 0.665 0.500
Hg3 0.335 0.165 0.500
Hg4 0.835 0.335 0.500
Sc1 0.000 0.000 0.000
Sc2 0.500 0.500 0.000
Rh1 0.138 0.362 0.000
Rh2 0.862 0.638 0.000
Rh3 0.638 0.138 0.000
Rh4 0.362 0.862 0.000

Values from the calculation:
Its formation energy is -1.35 eV per formula unit. The value obtained for the density of states at the Fermi level is 6.82 states/eV/cell. The symmetry is P4/mbm, No. 127.



2.
Density functional theory data (PBE-GGA) for a relaxed TiAl6Tc crystal.

a b c (Å): 5.512 5.512 5.512
angles (deg): 71.28 71.28 108.71
Element x y z (fractional)
Al1 0.742 0.223 0.258
Al2 0.742 0.742 0.777
Al3 0.258 0.777 0.742
Al4 0.777 0.258 0.742
Al5 0.223 0.742 0.258
Al6 0.258 0.258 0.223
Ti1 0.500 0.500 0.500
Tc1 0.000 0.000 0.000

Values from the calculation:
Its formation energy is -1.16 eV per formula unit. The value obtained for the density of states at the Fermi level is 2.58 states/eV/cell. The symmetry is R-3m, No. 166.



3.
Density functional theory data (PBE-GGA) for a relaxed Li2Tl2Ag crystal.

a b c (Å): 5.180 6.041 11.371
angles (deg): 41.39 76.83 64.61
Element x y z (fractional)
Ag1 0.826 0.250 0.750
Ag2 0.174 0.750 0.250
Li1 0.020 0.470 0.144
Li2 0.366 0.970 0.644
Li3 0.980 0.530 0.856
Li4 0.634 0.030 0.356
Tl1 0.578 0.165 0.043
Tl2 0.786 0.335 0.457
Tl3 0.214 0.665 0.543
Tl4 0.422 0.835 0.957

Values from the calculation:
Its formation energy is -0.63 eV per formula unit. The value obtained for the density of states at the Fermi level is 2.50 states/eV/cell. The symmetry is C2/c, No. 15.



4.
Density functional theory data (PBE-GGA) for a relaxed Ag2C crystal.

a b c (Å): 5.519 5.519 5.519
angles (deg): 33.01 33.01 33.01
Element x y z (fractional)
Ag1 0.758 0.758 0.758
Ag2 0.242 0.242 0.242
C1 0.000 0.000 0.000

Values from the calculation:
Its formation energy is 4.51 eV per formula unit. The value obtained for the density of states at the Fermi level is 0.84 states/eV/cell. The symmetry is R-3m, No. 166.



5.
Density functional theory data (PBE-GGA) for a relaxed TlSbAu2 crystal.

a b c (Å): 3.485 3.485 7.887
angles (deg): 90.00 90.00 90.00
Element x y z (fractional)
Au1 0.000 0.000 0.038
Au2 0.500 0.500 0.238
Tl1 0.500 0.500 0.785
Sb1 0.000 0.000 0.439

Values from the calculation:
The calculation puts the formation energy (no corrections) at 0.31 eV/f.u. The value obtained for the density of states at the Fermi level is 2.01 states/eV/cell. The symmetry is P4mm, No. 99.



6.
Density functional theory data (PBE-GGA) for a relaxed CsAl2O crystal.

a b c (Å): 6.396 6.396 6.681
angles (deg): 61.40 61.40 90.00
Element x y z (fractional)
Al1 0.376 0.125 0.250
Al2 0.374 0.625 0.250
Al3 0.875 0.626 0.750
Al4 0.375 0.624 0.750
Cs1 0.000 0.000 0.000
Cs2 0.750 0.250 0.500
O1 0.500 0.500 0.000
O2 0.250 0.750 0.500

Values from the calculation:
The calculation puts the formation energy (no corrections) at -0.76 eV/f.u. The value obtained for the density of states at the Fermi level is 2.18 states/eV/cell. The symmetry is I4_1/amd, No. 141.



7.
Density functional theory data (PBE-GGA) for a relaxed HoErSb2 crystal.

a b c (Å): 4.345 4.345 14.385
angles (deg): 90.00 90.00 120.00
Element x y z (fractional)
Sb1 0.333 0.667 0.378
Sb2 0.667 0.333 0.622
Sb3 0.667 0.333 0.878
Sb4 0.333 0.667 0.122
Er1 0.000 0.000 0.000
Er2 0.000 0.000 0.500
Ho1 0.333 0.667 0.750
Ho2 0.667 0.333 0.250

Values from the calculation:
The calculation puts the formation energy (no corrections) at -4.11 eV/f.u. The value obtained for the density of states at the Fermi level is 1.44 states/eV/cell. The symmetry is P6_3/mmc, No. 194.



8.
Density functional theory data (PBE-GGA) for a relaxed ScNbO2F crystal.

a b c (Å): 4.053 4.053 4.204
angles (deg): 90.00 90.00 90.00
Site moments in Bohr magnetons follow the coordinates.
Element x y z (fractional)
Nb1 0.000 0.000 0.000  0.12
Sc1 0.500 0.500 0.500  0.82
O1 0.500 0.000 0.000  -0.01
O2 0.000 0.500 0.000  -0.01
F1 0.000 0.000 0.500  0.04

Values from the calculation:
The calculation puts the formation energy (no corrections) at -9.51 eV/f.u. The value obtained for the density of states at the Fermi level is 3.99 states/eV/cell. The symmetry is P4/mmm, No. 123.



9.
Density functional theory data (PBE-GGA) for a relaxed Ca2Mg5Sn3Pb2 crystal.

a b c (Å): 4.336 4.336 18.014
angles (deg): 96.91 96.91 90.00
Element x y z (fractional)
Ca1 0.280 0.280 0.560
Ca2 0.720 0.720 0.440
Mg1 0.934 0.434 0.867
Mg2 0.066 0.566 0.133
Mg3 0.434 0.934 0.867
Mg4 0.500 0.500 0.000
Mg5 0.566 0.066 0.133
Pb1 0.369 0.369 0.737
Pb2 0.631 0.631 0.263
Sn1 0.821 0.821 0.643
Sn2 0.179 0.179 0.357
Sn3 0.000 0.000 0.000

Values from the calculation:
Its formation energy is -0.85 eV per formula unit. The value obtained for the density of states at the Fermi level is 8.29 states/eV/cell. The symmetry is I4/mmm, No. 139.



10.
Density functional theory data (PBE-GGA) for a relaxed Mg2In5 crystal.

a b c (Å): 5.636 8.193 8.165
angles (deg): 94.20 90.00 110.12
Element x y z (fractional)
In1 0.566 0.433 0.823
In2 0.133 0.567 0.677
In3 0.867 0.433 0.323
In4 0.182 0.000 0.750
In5 0.818 0.000 0.250
In6 0.032 0.734 0.039
In7 0.299 0.266 0.461
In8 0.701 0.734 0.539
In9 0.968 0.266 0.961
In10 0.434 0.567 0.177
Mg1 0.740 0.144 0.605
Mg2 0.404 0.144 0.105
Mg3 0.596 0.856 0.895
Mg4 0.260 0.856 0.395

Values from the calculation:
Its formation energy is -0.17 eV per formula unit. The value obtained for the density of states at the Fermi level is 5.42 states/eV/cell. The symmetry is C2/c, No. 15.



11.
Density functional theory data (PBE-GGA) for a relaxed Pm6Te5Au crystal.

a b c (Å): 7.701 7.701 7.705
angles (deg): 99.61 99.61 119.87
Element x y z (fractional)
Pm1 0.603 0.922 0.762
Pm2 0.397 0.078 0.238
Pm3 0.236 0.236 0.755
Pm4 0.764 0.764 0.245
Pm5 0.922 0.603 0.762
Pm6 0.078 0.397 0.238
Te1 0.664 0.336 0.000
Te2 0.825 0.175 0.500
Te3 0.175 0.825 0.500
Te4 0.336 0.664 0.000
Te5 0.500 0.500 0.500
Au1 0.000 0.000 0.000

Values from the calculation:
The calculation puts the formation energy (no corrections) at -16.02 eV/f.u. The value obtained for the density of states at the Fermi level is 4.63 states/eV/cell. The symmetry is C2/m, No. 12.



12.
Density functional theory data (PBE-GGA) for a relaxed ScHgP2O8 crystal.

a b c (Å): 4.860 4.860 7.776
angles (deg): 71.79 71.79 60.00
Site moments in Bohr magnetons follow the coordinates.
Element x y z (fractional)
O1 0.419 0.736 0.822  0.10
O2 0.180 0.180 0.461  0.20
O3 0.264 0.977 0.178  0.10
O4 0.820 0.820 0.539  0.20
O5 0.977 0.581 0.178  0.10
O6 0.581 0.264 0.178  0.10
O7 0.023 0.419 0.822  0.10
O8 0.736 0.023 0.822  0.10
P1 0.748 0.748 0.756  -0.01
P2 0.252 0.252 0.244  -0.01
Sc1 0.000 0.000 0.000  -0.01
Hg1 0.500 0.500 0.500  -0.01

Values from the calculation:
The calculation puts the formation energy (no corrections) at -23.33 eV/f.u. The value obtained for the density of states at the Fermi level is 10.53 states/eV/cell. The symmetry is R-3, No. 148.